Entry from Alexandria via LeMat-Bulk: an optimized crystal structure of SrHf2IrO8 (PBE).

Values from the calculation:
The space group is No. 10. Its mass density is 7.88 g cm⁻³. For the density of states at the Fermi level, the calculation gives 0.4564 states/eV/atom. The total moment is 1.51 μB/f.u. For the uncorrected formation energy, the calculation gives -2.360 eV/atom. The calculation puts the total energy at -8.20 eV per atom.

Unit cell a=4.927 b=4.922 c=6.650 alpha=90.00 beta=90.00 gamma=88.16
Each line ends with the local moment (μB).
Fractional positions:
O 0.714 0.716 0.000  0.04
O 0.205 0.794 0.200  0.12
O 0.205 0.794 0.800  0.12
Hf 0.500 0.500 0.746  0.01
O 0.329 0.328 0.500  0.02
O 0.795 0.206 0.800  0.12
Hf 0.500 0.500 0.254  0.01
O 0.795 0.206 0.200  0.12
Ir 0.000 0.000 0.000  0.74
Sr 0.000 0.000 0.500  0.01
O 0.671 0.672 0.500  0.02
O 0.286 0.284 0.000  0.04

Entry from Alexandria via LeMat-Bulk: an optimized crystal structure of SrHfIrO6 (PBE).

Values from the calculation:
The space group is No. 102. Its mass density is 7.43 g cm⁻³. For the density of states at the Fermi level, the calculation gives 0.6497 states/eV/atom. The total moment is 1.64 μB/f.u. For the uncorrected formation energy, the calculation gives -1.999 eV/atom. The calculation puts the total energy at -7.58 eV per atom.

Unit cell a=5.016 b=5.016 c=9.849 alpha=90.00 beta=90.00 gamma=90.00
Each line ends with the local moment (μB).
Fractional positions:
O 0.832 0.168 0.490  0.08
O 0.271 0.271 0.308  0.13
Sr 0.500 0.500 0.505  0.01
Ir 0.500 0.500 0.832  0.82
Ir 0.000 0.000 0.332  0.82
O 0.713 0.713 0.700  0.09
O 0.729 0.729 0.308  0.13
Hf 0.000 0.000 0.666  0.01
O 0.787 0.213 0.200  0.09
O 0.168 0.832 0.490  0.08
O 0.229 0.771 0.808  0.13
Hf 0.500 0.500 0.166  0.01
O 0.287 0.287 0.700  0.09
O 0.332 0.332 0.990  0.08
O 0.668 0.668 0.990  0.08
O 0.213 0.787 0.200  0.09
Sr 0.000 0.000 0.005  0.01
O 0.771 0.229 0.808  0.13

Entry from Alexandria via LeMat-Bulk: an optimized crystal structure of HfTcIr2O (PBE).

Values from the calculation:
The space group is No. 123. Its mass density is 11.74 g cm⁻³. For the density of states at the Fermi level, the calculation gives 0.9575 states/eV/atom. The total moment is 4.41 μB/f.u. For the uncorrected formation energy, the calculation gives 0.649 eV/atom. The calculation puts the total energy at -7.95 eV per atom.

Unit cell a=4.994 b=4.994 c=3.841 alpha=90.00 beta=90.00 gamma=90.00
Each line ends with the local moment (μB).
Fractional positions:
Hf 0.000 0.000 0.000  -0.05
O 0.000 0.000 0.500  0.09
Ir 0.500 0.000 0.000  0.54
Ir 0.000 0.500 0.000  0.54
Tc 0.500 0.500 0.500  2.92

Entry from Alexandria via LeMat-Bulk: an optimized crystal structure of HfTeIrO2 (PBE).

Values from the calculation:
The space group is No. 123. Its mass density is 9.48 g cm⁻³. For the density of states at the Fermi level, the calculation gives 0.5949 states/eV/atom. The total moment is 0.11 μB/f.u. For the uncorrected formation energy, the calculation gives -1.209 eV/atom. The calculation puts the total energy at -7.58 eV per atom.

Unit cell a=3.940 b=3.940 c=5.985 alpha=90.00 beta=90.00 gamma=90.00
Fractional positions:
O 0.000 0.500 0.000
Hf 0.000 0.000 0.000
Te 0.500 0.500 0.500
O 0.500 0.000 0.000
Ir 0.000 0.000 0.500

Entry from Alexandria via LeMat-Bulk: an optimized crystal structure of HfTi2IrO (PBE).

Values from the calculation:
The space group is No. 123. Its mass density is 11.00 g cm⁻³. For the density of states at the Fermi level, the calculation gives 0.9182 states/eV/atom. The total moment is 0.00 μB/f.u. For the uncorrected formation energy, the calculation gives -1.385 eV/atom. The calculation puts the total energy at -9.30 eV per atom.

Unit cell a=4.075 b=4.075 c=4.384 alpha=90.00 beta=90.00 gamma=90.00
Fractional positions:
Ti 0.000 0.500 0.000
Ir 0.500 0.500 0.500
O 0.000 0.000 0.000
Ti 0.500 0.000 0.000
Hf 0.000 0.000 0.500

Entry from Alexandria via LeMat-Bulk: an optimized crystal structure of Hf2TiIrO (PBE).

Values from the calculation:
The space group is No. 123. Its mass density is 13.14 g cm⁻³. For the density of states at the Fermi level, the calculation gives 0.7151 states/eV/atom. The total moment is 0.47 μB/f.u. For the uncorrected formation energy, the calculation gives -1.358 eV/atom. The calculation puts the total energy at -9.68 eV per atom.

Unit cell a=4.382 b=4.382 c=4.034 alpha=90.00 beta=90.00 gamma=90.00
Each line ends with the local moment (μB).
Fractional positions:
Hf 0.500 0.000 0.000  0.04
Ir 0.500 0.500 0.500  -0.02
O 0.000 0.000 0.000  -0.01
Ti 0.000 0.000 0.500  0.32
Hf 0.000 0.500 0.000  0.04

Entry from Alexandria via LeMat-Bulk: an optimized crystal structure of HfTlIrO6 (PBE).

Values from the calculation:
The space group is No. 149. Its mass density is 9.27 g cm⁻³. For the density of states at the Fermi level, the calculation gives 0.3696 states/eV/atom. The total moment is 2.04 μB/f.u. For the uncorrected formation energy, the calculation gives -1.535 eV/atom. The calculation puts the total energy at -7.19 eV per atom.

Unit cell a=5.338 b=5.338 c=4.872 alpha=90.00 beta=90.00 gamma=60.00
Each line ends with the local moment (μB).
Fractional positions:
O 0.356 0.630 0.273  0.13
O 0.356 0.014 0.727  0.13
O 0.014 0.630 0.727  0.13
O 0.630 0.014 0.273  0.13
Ir 0.333 0.333 0.500  1.08
O 0.014 0.356 0.273  0.13
O 0.630 0.356 0.727  0.13
Tl 0.000 0.000 0.000  -0.01
Hf 0.667 0.667 0.500  0.02

Entry from Alexandria via LeMat-Bulk: an optimized crystal structure of HfTl2IrO6 (PBE).

Values from the calculation:
The space group is No. 166. Its mass density is 9.75 g cm⁻³. For the density of states at the Fermi level, the calculation gives 0.4374 states/eV/atom. The total moment is 0.76 μB/f.u. For the uncorrected formation energy, the calculation gives -1.428 eV/atom. The calculation puts the total energy at -6.76 eV per atom.

Unit cell a=5.962 b=5.962 c=10.277 alpha=73.14 beta=73.14 gamma=60.00
Each line ends with the local moment (μB).
Fractional positions:
Ir 0.000 0.000 0.000  -0.51
Tl 0.865 0.865 0.405  0.03
Ir 0.500 0.500 0.500  1.20
O 0.835 0.397 0.372  0.14
O 0.397 0.397 0.372  0.14
Hf 0.402 0.402 0.795  0.02
Tl 0.135 0.135 0.595  0.03
O 0.804 0.804 0.112  -0.04
Tl 0.277 0.277 0.168  -0.01
O 0.196 0.720 0.888  -0.04
O 0.280 0.804 0.112  -0.04
O 0.603 0.603 0.628  0.14
Hf 0.598 0.598 0.205  0.02
O 0.804 0.280 0.112  -0.04
O 0.603 0.165 0.628  0.14
Tl 0.723 0.723 0.832  -0.01
O 0.165 0.603 0.628  0.14
O 0.397 0.835 0.372  0.14
O 0.196 0.196 0.888  -0.04
O 0.720 0.196 0.888  -0.04